1.
# Pm5NdSc

A geometry-optimized Pm5NdSc structure (PBE, Alexandria via LeMat-Bulk).

Output
DOS at the Fermi energy: 1.496 states/eV/atom
energy of formation: 15.17 kJ/mol of atoms
uncorrected energy: -135.008 eV per cell

The structure in CIF format:
```
data_Pm5NdSc
_cell_length_a 9.363
_cell_length_b 8.021
_cell_length_c 12.632
_cell_angle_alpha 90.00
_cell_angle_beta 96.72
_cell_angle_gamma 90.00
_space_group_name_H-M_alt 'C 1 2/c 1'
_space_group_IT_number 15
loop_
_space_group_symop_operation_xyz
'x,y,z'
'-x,-y,-z'
'-x,y,-z+1/2'
'x,-y,z+1/2'
'x+1/2,y+1/2,z'
'-x+1/2,-y+1/2,-z'
'-x+1/2,y+1/2,-z+1/2'
'x+1/2,-y+1/2,z+1/2'
loop_
_atom_site_label
_atom_site_fract_x
_atom_site_fract_y
_atom_site_fract_z
Pm1 0.000 0.075 0.250
Pm2 0.165 0.369 0.089
Pm3 0.214 0.367 0.374
Nd1 0.000 0.316 0.750
Sc1 0.000 0.000 0.000
```

2.
# LaSmSi2Pt5

A geometry-optimized LaSmSi2Pt5 structure (PBE, Alexandria via LeMat-Bulk).

Output
DOS at the Fermi energy: 0.443 states/eV/atom
formation energy (no corrections): -1.034 eV/atom
uncorrected energy: -60.005 eV per cell

The structure in CIF format:
```
data_LaSmSi2Pt5
_cell_length_a 4.290
_cell_length_b 4.290
_cell_length_c 9.010
_cell_angle_alpha 90.00
_cell_angle_beta 90.00
_cell_angle_gamma 90.00
_space_group_name_H-M_alt 'P 4/m m m'
_space_group_IT_number 123
_space_group_name_Hall '-P 4 2'
loop_
_atom_site_label
_atom_site_fract_x
_atom_site_fract_y
_atom_site_fract_z
La1 0.000 0.000 0.000
Sm1 0.000 0.000 0.500
Si1 0.500 0.500 0.366
Pt1 0.000 0.500 0.241
Pt2 0.500 0.500 0.000
```

3.
# Ho5Al2In2

A geometry-optimized Ho5Al2In2 structure (PBE, Alexandria via LeMat-Bulk).

Output
DOS at the Fermi energy: 0.777 states/eV/atom
energy of formation: -33.44 kJ/mol of atoms
uncorrected energy: -155.879 eV per cell

The structure in CIF format:
```
data_Ho5Al2In2
_cell_length_a 16.054
_cell_length_b 7.878
_cell_length_c 7.728
_cell_angle_alpha 90.00
_cell_angle_beta 90.00
_cell_angle_gamma 90.00
_space_group_name_H-M_alt 'C m c e'
_space_group_IT_number 64
_space_group_name_Hall '-C 2ac 2'
loop_
_atom_site_label
_atom_site_fract_x
_atom_site_fract_y
_atom_site_fract_z
Ho1 0.000 0.000 0.000
Ho2 0.132 0.187 0.320
Al1 0.000 0.117 0.618
In1 0.219 0.000 0.000
```

4.
# Pm10Y6Pu

A geometry-optimized Pm10Y6Pu structure (PBE, Alexandria via LeMat-Bulk).

Output
DOS at the Fermi energy: 1.754 states/eV/atom
energy of formation: 15.81 kJ/mol of atoms
uncorrected energy: -97.837 eV per cell

The structure in CIF format:
```
data_Pm10Y6Pu
_cell_length_a 9.8142
_cell_length_b 9.8142
_cell_length_c 6.9031
_cell_angle_alpha 90.00
_cell_angle_beta 90.00
_cell_angle_gamma 120.00
_space_group_name_H-M_alt 'P -3 1 m'
_space_group_IT_number 162
_space_group_name_Hall '-P 3 2'
loop_
_atom_site_label
_atom_site_fract_x
_atom_site_fract_y
_atom_site_fract_z
Pm1 0.0000 0.2680 0.3127
Pm2 0.3333 0.6667 0.0000
Pm3 0.3333 0.6667 0.5000
Y1 0.0000 0.3736 0.8067
Pu1 0.0000 0.0000 0.0000
```

5.
# TaZnRh

A geometry-optimized TaZnRh structure (PBE, Alexandria via LeMat-Bulk).

Output
DOS at the Fermi energy: 0.598 states/eV/atom
energy of formation: -33.93 kJ/mol of atoms
uncorrected energy: -43.066 eV per cell

The structure in CIF format:
```
data_TaZnRh
_cell_length_a 4.4204
_cell_length_b 4.4204
_cell_length_c 5.3923
_cell_angle_alpha 90.00
_cell_angle_beta 90.00
_cell_angle_gamma 120.00
_space_group_name_H-M_alt 'P 63/m m c'
_space_group_IT_number 194
_space_group_name_Hall '-P 6c 2c'
loop_
_atom_site_label
_atom_site_fract_x
_atom_site_fract_y
_atom_site_fract_z
Ta1 0.0000 0.0000 0.0000
Zn1 0.3333 0.6667 0.2500
Rh1 0.3333 0.6667 0.7500
```

6.
# CeSm2Cd4

A geometry-optimized CeSm2Cd4 structure (PBE, Alexandria via LeMat-Bulk).

Output
DOS at the Fermi energy: 1.505 states/eV/atom
energy of formation: -8.72 kJ/mol of atoms
uncorrected energy: -39.331 eV per cell

The structure in CIF format:
```
data_CeSm2Cd4
_cell_length_a 5.473
_cell_length_b 5.473
_cell_length_c 13.833
_cell_angle_alpha 90.00
_cell_angle_beta 90.00
_cell_angle_gamma 90.00
_space_group_name_H-M_alt 'I 4/m m m'
_space_group_IT_number 139
_space_group_name_Hall '-I 4 2'
loop_
_atom_site_label
_atom_site_fract_x
_atom_site_fract_y
_atom_site_fract_z
Ce1 0.000 0.000 0.000
Sm1 0.000 0.000 0.264
Cd1 0.000 0.500 0.115
```

7.
# Sr3Ho2ErTe6

A geometry-optimized Sr3Ho2ErTe6 structure (PBE, Alexandria via LeMat-Bulk).

Output
DOS at the Fermi energy: 0.418 states/eV/atom
formation energy (no corrections): -1.469 eV/atom
uncorrected energy: -110.494 eV per cell

The structure in CIF format:
```
data_Sr3Ho2ErTe6
_cell_length_a 7.754
_cell_length_b 13.412
_cell_length_c 7.946
_cell_angle_alpha 90.00
_cell_angle_beta 108.99
_cell_angle_gamma 90.00
_space_group_name_H-M_alt 'C 1 2/m 1'
_space_group_IT_number 12
loop_
_space_group_symop_operation_xyz
'x,y,z'
'-x,-y,-z'
'-x,y,-z'
'x,-y,z'
'x+1/2,y+1/2,z'
'-x+1/2,-y+1/2,-z'
'-x+1/2,y+1/2,-z'
'x+1/2,-y+1/2,z'
loop_
_atom_site_label
_atom_site_fract_x
_atom_site_fract_y
_atom_site_fract_z
Sr1 0.000 0.000 0.000
Sr2 0.000 0.333 0.000
Ho1 0.000 0.166 0.500
Er1 0.000 0.500 0.500
Te1 0.242 0.334 0.729
Te2 0.244 0.000 0.729
```

8.
# LiNd2Se4

A geometry-optimized LiNd2Se4 structure (PBE, Alexandria via LeMat-Bulk).

Output
DOS at the Fermi energy: 0.136 states/eV/atom
formation energy (no corrections): -1.587 eV/atom
uncorrected energy: -72.988 eV per cell

The structure in CIF format:
```
data_LiNd2Se4
_cell_length_a 7.245
_cell_length_b 5.748
_cell_length_c 8.522
_cell_angle_alpha 90.00
_cell_angle_beta 107.21
_cell_angle_gamma 90.00
_space_group_name_H-M_alt 'P 1 21/m 1'
_space_group_IT_number 11
loop_
_space_group_symop_operation_xyz
'x,y,z'
'-x,-y,-z'
'-x,y+1/2,-z'
'x,-y+1/2,z'
loop_
_atom_site_label
_atom_site_fract_x
_atom_site_fract_y
_atom_site_fract_z
Li1 0.227 0.250 0.181
Nd1 0.231 0.750 0.436
Nd2 0.242 0.750 0.932
Se1 0.065 0.250 0.890
Se2 0.068 0.250 0.394
Se3 0.487 0.008 0.745
```

Number 1: M_tot 0.00 μB/f.u.. Number 2: M_tot 0.00 μB/f.u.. Number 3: M_tot 0.00 μB/f.u.. Number 4: M_tot 5.58 μB/f.u.. Number 5: M_tot 0.00 μB/f.u.. Number 6: M_tot 1.20 μB/f.u.. Number 7: M_tot 0.00 μB/f.u.. Number 8: M_tot 0.00 μB/f.u..